The following is a GGA-PBE calculation of YMn2InP after structural relaxation, from Alexandria.

DOS(E_F) ... 5.1 states/eV/f.u.
Formation energy from the elements ... 0.11 eV per atom
Energy ... -0.4762 Ry/atom

Cell lengths 4.477, 5.179, 4.477 Å; angles 90.00, 90.00, 90.00 degrees
Last column: magnetic moment on the atom in μB.
Sites, in units of the cell vectors:
Y 0.500 0.500 0.500  -0.25
Mn 0.000 0.000 0.500  3.03
Mn 0.500 0.000 0.000  3.16
In 0.000 0.500 0.000  -0.04
P 0.000 0.000 0.000  -0.11

The following is a GGA-PBE calculation of PaMnIn after structural relaxation, from Alexandria.

DOS(E_F) ... 3.8 states/eV/f.u.
Formation energy from the elements ... 0.05 eV per atom
Energy ... -0.5209 Ry/atom

Cell lengths 2.996, 2.996, 13.554 Å; angles 96.34, 96.34, 90.00 degrees
Sites, in units of the cell vectors:
Mn 0.727 0.727 0.454
Mn 0.273 0.273 0.546
In 0.554 0.554 0.109
In 0.446 0.446 0.891
Pa 0.846 0.846 0.693
Pa 0.154 0.154 0.307

The following is a GGA-PBE calculation of PaMn2In after structural relaxation, from Alexandria.

DOS(E_F) ... 4.7 states/eV/f.u.
Excess energy over the best structure of this formula in the dataset ... 0 meV per atom
Formation energy from the elements ... 0.09 eV per atom
Energy ... -0.5550 Ry/atom

Cell lengths 3.402, 4.485, 4.485 Å; angles 90.00, 90.00, 90.00 degrees
Last column: magnetic moment on the atom in μB.
Sites, in units of the cell vectors:
Pa 0.500 0.500 0.500  -0.72
In 0.500 0.000 0.000  -0.09
Mn 0.000 0.000 0.500  1.48
Mn 0.000 0.500 0.000  1.48

The following is a GGA-PBE calculation of PaMnIn after structural relaxation, from Alexandria.

DOS(E_F) ... 1.3 states/eV/f.u.
Formation energy from the elements ... -0.21 eV per atom
Energy ... -0.5400 Ry/atom

Cell lengths 6.466, 5.629, 7.127 Å; angles 90.00, 95.48, 90.00 degrees
Sites, in units of the cell vectors:
Mn 0.052 0.841 0.638
Mn 0.448 0.341 0.862
Mn 0.552 0.659 0.138
Mn 0.948 0.159 0.362
In 0.303 0.870 0.362
In 0.803 0.630 0.862
In 0.697 0.130 0.638
In 0.197 0.370 0.138
Pa 0.302 0.854 0.870
Pa 0.802 0.646 0.370
Pa 0.198 0.354 0.630
Pa 0.698 0.146 0.130

The following is a GGA-PBE calculation of PaMnIn after structural relaxation, from Alexandria.

DOS(E_F) ... 3.0 states/eV/f.u.
Formation energy from the elements ... 0.40 eV per atom
Energy ... -0.4953 Ry/atom

Cell lengths 3.827, 3.827, 5.496 Å; angles 110.38, 110.38, 90.00 degrees
Last column: magnetic moment on the atom in μB.
Sites, in units of the cell vectors:
Pa 0.650 0.650 0.300  0.35
Mn 0.875 0.875 0.749  -1.11
In 0.325 0.325 0.650  0.03

The following is a GGA-PBE calculation of Pa3MnIn after structural relaxation, from Alexandria.

DOS(E_F) ... 10.8 states/eV/f.u.
Formation energy from the elements ... 0.07 eV per atom
Energy ... -0.5890 Ry/atom

Cell lengths 5.017, 5.017, 5.017 Å; angles 90.00, 90.00, 90.00 degrees
Sites, in units of the cell vectors:
In 0.500 0.500 0.500
Pa 0.000 0.000 0.500
Pa 0.000 0.500 0.000
Pa 0.500 0.000 0.000
Mn 0.000 0.000 0.000

The following is a GGA-PBE calculation of PaMn2In after structural relaxation, from Alexandria.

DOS(E_F) ... 4.0 states/eV/f.u.
Excess energy over the best structure of this formula in the dataset ... 305 meV per atom
Formation energy from the elements ... 0.40 eV per atom
Energy ... -0.5326 Ry/atom

Cell lengths 3.273, 3.273, 7.858 Å; angles 77.98, 77.98, 60.00 degrees
Last column: magnetic moment on the atom in μB.
Sites, in units of the cell vectors:
In 0.500 0.500 0.500  -0.03
Pa 0.000 0.000 0.000  -0.31
Mn 0.258 0.258 0.225  1.02
Mn 0.742 0.742 0.775  1.02

The following is a GGA-PBE calculation of Pa2MnIn after structural relaxation, from Alexandria.

DOS(E_F) ... 2.6 states/eV/f.u.
Excess energy over the best structure of this formula in the dataset ... 0 meV per atom
Formation energy from the elements ... -0.11 eV per atom
Energy ... -0.5755 Ry/atom

Cell lengths 3.105, 3.105, 8.835 Å; angles 90.00, 90.00, 90.00 degrees
Sites, in units of the cell vectors:
Pa 0.000 0.000 0.798
Pa 0.000 0.000 0.202
Mn 0.500 0.500 0.000
In 0.500 0.500 0.500